1.
First-principles (PBE) data for a relaxed Ac5La2SmHo crystal, as listed in Alexandria via LeMat-Bulk.

Computed properties:
ΔH_f (0 K): 2.4 eV per formula unit

abc: 8.5295 8.5295 11.8733
angles: 111.05 111.05 90.00
Closest atoms and distances in Å follow each position.
Fractional positions:
Ac 0.0000 0.0000 0.0000  4 La 3.39
Ac 0.1295 0.0897 0.7192  1 La 3.39, 1 Ho 3.57, 2 Sm 3.77
Ac 0.3705 0.8705 0.2808  1 La 3.39, 1 Ho 3.57, 2 Sm 3.77
La 0.3788 0.8788 0.0000  1 La 2.92
Ac 0.6295 0.1295 0.7192  1 La 3.39, 1 Ho 3.57, 2 Sm 3.77
Ac 0.4103 0.3705 0.2808  1 La 3.39, 1 Ho 3.57, 2 Sm 3.77
La 0.1212 0.3788 0.0000  1 La 2.92
La 0.6212 0.1212 0.0000  1 La 2.92
Sm 0.7500 0.7500 0.5000  8 Ac 3.77
Ac 0.9103 0.4103 0.2808  1 La 3.39, 1 Ho 3.57, 2 Sm 3.77
Ac 0.5000 0.5000 0.0000  4 La 3.39
Ac 0.0897 0.5897 0.7192  1 La 3.39, 1 Ho 3.57, 2 Sm 3.77
Ho 0.2500 0.7500 0.5000  8 Ac 3.57-3.95
Ac 0.8705 0.9103 0.2808  1 La 3.39, 1 Ho 3.57, 2 Sm 3.77
Ho 0.7500 0.2500 0.5000  8 Ac 3.57-3.95
Ac 0.5897 0.6295 0.7192  1 La 3.39, 1 Ho 3.57, 2 Sm 3.77
La 0.8788 0.6212 0.0000  1 La 2.92
Sm 0.2500 0.2500 0.5000  8 Ac 3.77

=====

2.
First-principles (PBE) data for a relaxed MgMoIr2 crystal, as listed in Alexandria via LeMat-Bulk.

Computed properties:
ΔH_f (0 K): -0.6 eV per formula unit

abc: 9.0151 9.0151 9.0151
angles: 18.10 18.10 18.10
Closest atoms and distances in Å follow each position.
Fractional positions:
Ir 0.5024 0.5024 0.5024  3 Mo 2.70, 3 Mg 2.81, 6 Ir 2.84
Mo 0.2500 0.2500 0.2500  6 Ir 2.70, 6 Mo 2.84
Mg 0.7500 0.7500 0.7500  6 Ir 2.81, 6 Mg 2.84
Ir 0.9976 0.9976 0.9976  3 Mo 2.70, 3 Mg 2.81, 6 Ir 2.84

=====

3.
First-principles (PBE) data for a relaxed K2AuO2 crystal, as listed in Alexandria via LeMat-Bulk.

Computed properties:
Raw formation energy: -410 kJ/mol of formula units

abc: 5.8394 6.2678 6.7940
angles: 78.02 76.13 77.74
Closest atoms and distances in Å follow each position.
Fractional positions:
O 0.0367 0.2349 0.0139  2 Au 2.04-2.09
K 0.2157 0.9034 0.3622  3 O 2.60-2.71
K 0.6930 0.3147 0.3481  4 O 2.57-2.70
O 0.7904 0.9395 0.6018  1 O 1.51
K 0.7733 0.9123 0.0077  3 O 2.71-2.80
Au 0.2907 0.0988 0.7890  2 O 2.04-2.06
Au 0.2436 0.4385 0.0752  2 O 2.00-2.09
O 0.4583 0.6238 0.1231  1 Au 2.00
K 0.7465 0.5259 0.7667  4 O 2.64-2.85
O 0.5417 0.9460 0.5697  1 O 1.51

=====

4.
First-principles (PBE) data for a relaxed LiLaSmCo crystal, as listed in Alexandria via LeMat-Bulk.

Computed properties:
ΔH_f (0 K): 0.1 eV per formula unit

abc: 5.0446 5.0446 5.0446
angles: 60.00 60.00 60.00
Closest atoms and distances in Å follow each position.
Fractional positions:
Sm 0.5000 0.5000 0.5000  4 Li 3.09, 4 Co 3.09
Co 0.2500 0.2500 0.2500  4 Sm 3.09, 4 La 3.09
La 0.0000 0.0000 0.0000  4 Co 3.09, 4 Li 3.09
Li 0.7500 0.7500 0.7500  4 Sm 3.09, 4 La 3.09

=====

5.
First-principles (PBE) data for a relaxed KBa2NaHg crystal, as listed in Alexandria via LeMat-Bulk.

Computed properties:
ΔH_f (0 K): -0.5 eV per formula unit

abc: 6.7304 6.7304 6.1373
angles: 90.00 90.00 90.00
Closest atoms and distances in Å follow each position.
Fractional positions:
Ba 0.5000 0.0000 0.0000  2 Hg 3.37
Ba 0.0000 0.5000 0.0000  2 Hg 3.37
Hg 0.0000 0.0000 0.0000  2 Na 3.07, 4 Ba 3.37
Na 0.0000 0.0000 0.5000  2 Hg 3.07
K 0.5000 0.5000 0.5000  8 Ba 4.55, 4 Na 4.76

=====

6.
First-principles (PBE) data for a relaxed PuThU2P4 crystal, as listed in Alexandria via LeMat-Bulk.

Computed properties:
ΔH_f (0 K): -9.1 eV per formula unit

abc: 3.9805 6.9109 6.9875
angles: 70.87 90.00 90.00
Closest atoms and distances in Å follow each position.
Fractional positions:
P 0.5000 0.7637 0.2408  3 U 2.77-2.81, 1 Pu 2.86, 2 Th 2.90
P 0.0000 0.7603 0.7515  3 U 2.76-2.81, 2 Pu 2.86, 1 Th 2.90
Pu 0.5000 0.5000 0.0000  6 P 2.86
Th 0.0000 0.5000 0.5000  6 P 2.90
U 0.5000 0.0000 0.5000  6 P 2.81
P 0.5000 0.2363 0.7592  3 U 2.77-2.81, 1 Pu 2.86, 2 Th 2.90
P 0.0000 0.2397 0.2485  3 U 2.76-2.81, 2 Pu 2.86, 1 Th 2.90
U 0.0000 0.0000 0.0000  6 P 2.76-2.77

=====

no.,volume (Å³/f.u.),density (g cm⁻³)
1,372.03,7.71
2,61.75,13.57
3,116.34,4.38
4,90.77,6.50
5,278.01,3.21
6,181.61,9.84